Run w
Compound: ReSe2I
Source: Alexandria
Functional: PBE
Structure: optimized geometry

abc: 12.1499 12.1499 12.1499
angles: 15.40 15.40 15.40
Atoms (fractional coordinates):
1 Re 0.0000 0.0000 0.0000
2 Se 0.3818 0.3818 0.3818
3 Se 0.6182 0.6182 0.6182
4 I 0.5000 0.5000 0.5000

Calculated values
V (Å³/atom): 27.54
Space group: No. 166
Spin magnetization (μB per formula unit): 0.00
Density (g cm⁻³): 7.10



Run x
Compound: ReSe2I
Source: Alexandria
Functional: PBE
Structure: optimized geometry

abc: 6.0357 3.2437 11.0761
angles: 90.00 99.37 90.00
Atoms (fractional coordinates):
1 Re 0.1936 0.0000 0.4962
2 Re 0.8064 0.5000 0.5038
3 Se 0.0222 0.5000 0.3320
4 Se 0.4659 0.4999 0.6259
5 Se 0.5341 0.9999 0.3741
6 Se 0.9778 0.0000 0.6680
7 I 0.2505 0.5232 0.0010
8 I 0.7495 0.0232 0.9990

Calculated values
V (Å³/atom): 26.74
Space group: No. 4
Spin magnetization (μB per formula unit): 0.00
Density (g cm⁻³): 7.31



Run y
Compound: ReSe2I
Source: Alexandria
Functional: PBE
Structure: optimized geometry

abc: 7.0251 7.0251 7.0251
angles: 120.00 120.00 90.01
Atoms (fractional coordinates):
1 Re 0.0000 0.0000 0.0000
2 Re 0.7500 0.2500 0.5000
3 Se 0.0106 0.6250 0.8856
4 Se 0.3750 0.2606 0.3856
5 Se 0.7394 0.1250 0.1144
6 Se 0.8750 0.9894 0.6144
7 I 0.2500 0.7500 0.5000
8 I 0.5000 0.5000 0.0000

Calculated values
V (Å³/atom): 30.65
Space group: No. 122
Spin magnetization (μB per formula unit): 0.00
Density (g cm⁻³): 6.38



The winner here is run x, beating the second structure by 219 meV per atom.



Run w
Compound: Re3SiI
Source: Alexandria
Functional: PBE
Structure: optimized geometry

abc: 4.5304 4.5304 4.5304
angles: 90.00 90.00 90.00
Atoms (fractional coordinates):
1 Re 0.0000 0.0000 0.5000
2 Re 0.0000 0.5000 0.0000
3 Re 0.5000 0.0000 0.0000
4 Si 0.0000 0.0000 0.0000
5 I 0.5000 0.5000 0.5000

Calculated values
V (Å³/atom): 18.60
Space group: No. 221
Spin magnetization (μB per formula unit): 0.96
Density (g cm⁻³): 12.74



Run x
Compound: Re3SiI
Source: Alexandria
Functional: PBE
Structure: optimized geometry

abc: 4.8339 4.8339 4.8339
angles: 90.00 90.00 90.00
Atoms (fractional coordinates):
1 Re 0.0000 0.0000 0.5000
2 Re 0.0000 0.5000 0.0000
3 Re 0.5000 0.0000 0.0000
4 Si 0.5000 0.5000 0.5000
5 I 0.0000 0.0000 0.0000

Calculated values
V (Å³/atom): 22.59
Space group: No. 221
Spin magnetization (μB per formula unit): 2.19
Density (g cm⁻³): 10.49



The winner here is run w, beating the second structure by 1372 meV per atom.



Run w
Compound: ReSi2I
Source: Alexandria
Functional: PBE
Structure: optimized geometry

abc: 7.2973 7.2973 7.2973
angles: 130.91 130.91 71.96
Atoms (fractional coordinates):
1 Re 0.0000 0.0000 0.0000
2 Re 0.7500 0.2500 0.5000
3 Si 0.0316 0.6250 0.9066
4 Si 0.3750 0.2816 0.4066
5 Si 0.7184 0.1250 0.0934
6 Si 0.8750 0.9684 0.5934
7 I 0.2500 0.7500 0.5000
8 I 0.5000 0.5000 0.0000

Calculated values
V (Å³/atom): 27.13
Space group: No. 122
Spin magnetization (μB per formula unit): 0.00
Density (g cm⁻³): 5.65



Run x
Compound: ReSi2I
Source: Alexandria
Functional: PBE
Structure: optimized geometry

abc: 4.5945 4.5945 4.5945
angles: 60.00 60.00 60.00
Atoms (fractional coordinates):
1 Re 0.0000 0.0000 0.0000
2 Si 0.2500 0.2500 0.2500
3 Si 0.7500 0.7500 0.7500
4 I 0.5000 0.5000 0.5000

Calculated values
V (Å³/atom): 17.15
Space group: No. 225
Spin magnetization (μB per formula unit): 0.00
Density (g cm⁻³): 8.94



The winner here is run w, beating the second structure by 530 meV per atom.